[1]
The following is a DFT calculation (PBE) of a relaxed structure of Ga2Pd5.

Energy of formation ... -558 meV/atom
Distance to the lowest polymorph of the same formula ... 0.0 meV/atom

```
Ga2Pd5
1.0
5.498 0.000 0.000
0.000 4.109 0.000
0.000 0.000 18.712
Ga Pd
8 20
Cartesian
0.917 1.027 3.298
1.112 1.027 8.541
1.637 3.082 17.897
1.832 3.082 12.654
3.666 1.027 6.057
3.860 1.027 0.815
4.386 3.082 10.171
4.580 3.082 15.413
0.179 1.027 11.008
0.187 1.027 16.499
0.772 1.027 13.728
0.906 1.027 5.993
0.934 1.027 0.570
1.814 3.082 9.925
1.843 3.082 15.348
1.977 3.082 4.372
2.562 3.082 7.143
2.570 3.082 1.652
2.928 1.027 17.060
2.936 1.027 11.569
3.521 1.027 14.340
3.654 1.027 3.363
3.683 1.027 8.786
4.563 3.082 18.142
4.592 3.082 12.719
4.726 3.082 4.984
5.311 3.082 2.213
5.319 3.082 7.704
```

=====

[2]
The following is a DFT calculation (PBE) of a relaxed structure of GaPd.

Energy of formation ... -86 meV/atom

```
GaPd
1.0
-3.838 3.838 3.838
3.838 -3.838 3.838
3.838 3.838 -3.838
Ga Pd
4 4
Cartesian
2.373 2.373 -2.373
2.373 -2.373 2.373
1.465 1.465 1.465
-2.373 2.373 2.373
0.994 0.994 -0.994
0.994 -0.994 0.994
-0.994 0.994 0.994
2.844 2.844 2.844
```

=====

[3]
The following is a DFT calculation (PBE) of a relaxed structure of Ga2Pd3.

Energy of formation ... -580 meV/atom
Distance to the lowest polymorph of the same formula ... 0.0 meV/atom

```
Ga2Pd3
1.0
-1.562 1.562 7.686
1.562 -1.562 7.686
1.562 1.562 -7.686
Ga Pd
2 3
Cartesian
0.000 0.000 1.591
0.000 0.000 13.780
0.000 0.000 4.781
0.000 0.000 7.686
0.000 0.000 10.590
```

=====

[4]
The following is a DFT calculation (PBE) of a relaxed structure of Pm2GaPd4.

Energy of formation ... -608 meV/atom
Distance to the lowest polymorph of the same formula ... 48.1 meV/atom

```
Pm2GaPd4
1.0
4.150 -2.751 0.000
4.150 2.751 0.000
-1.696 0.000 7.010
Pm Ga Pd
2 1 4
Cartesian
0.155 0.000 1.874
6.449 0.000 5.136
4.150 0.000 0.000
2.075 1.375 0.000
1.102 0.000 4.625
2.075 -1.375 0.000
5.502 0.000 2.385
```

=====

[5]
The following is a DFT calculation (PBE) of a relaxed structure of Pm2Ga7Pd.

Energy of formation ... -561 meV/atom

```
Pm2Ga7Pd
1.0
4.257 0.000 0.000
0.000 4.257 0.000
0.000 0.000 10.798
Pm Ga Pd
2 7 1
Cartesian
0.000 2.129 2.669
2.129 0.000 8.129
0.000 0.000 0.000
0.000 0.000 5.399
0.000 2.129 6.922
0.000 2.129 9.387
2.129 0.000 1.411
2.129 0.000 3.877
2.129 2.129 5.399
2.129 2.129 0.000
```

=====

[6]
The following is a DFT calculation (PBE) of a relaxed structure of PmGa4Pd3.

Energy of formation ... -625 meV/atom

```
PmGa4Pd3
1.0
4.329 0.000 0.000
0.000 4.329 0.000
0.000 0.000 8.114
Pm Ga Pd
1 4 3
Cartesian
0.000 0.000 0.000
0.000 2.164 2.624
0.000 2.164 5.490
2.164 0.000 2.624
2.164 0.000 5.490
0.000 0.000 4.057
2.164 2.164 1.312
2.164 2.164 6.802
```

=====

[7]
The following is a DFT calculation (PBE) of a relaxed structure of PmGa6Pd6.

Energy of formation ... -593 meV/atom
Distance to the lowest polymorph of the same formula ... 34.9 meV/atom

```
PmGa6Pd6
1.0
-2.616 4.365 4.663
2.616 -4.365 4.663
2.616 4.365 -4.663
Pm Ga Pd
1 6 6
Cartesian
0.000 0.000 0.000
1.308 2.183 -2.331
1.308 -2.183 2.331
2.616 2.102 0.000
-1.308 2.183 2.331
1.308 2.183 2.331
0.000 2.263 4.663
2.616 0.000 1.724
0.000 2.974 0.000
0.000 0.000 3.214
0.000 0.000 6.112
0.000 5.757 0.000
0.000 4.365 2.938
```

=====

[8]
The following is a DFT calculation (PBE) of a relaxed structure of PmGa6Pd12.

Energy of formation ... -580 meV/atom

```
PmGa6Pd12
1.0
5.763 3.327 2.807
-5.763 3.327 2.807
0.000 -6.654 2.807
Pm Ga Pd
1 6 12
Cartesian
0.000 0.000 0.000
0.000 -2.918 3.471
-2.527 1.459 3.471
-2.527 -1.459 4.951
2.527 1.459 3.471
2.527 -1.459 4.951
0.000 2.918 4.951
-2.185 -3.784 4.211
-4.369 0.000 4.211
-1.428 -0.824 2.743
1.428 -0.824 2.743
0.000 1.649 2.743
2.185 -3.784 4.211
-2.185 3.784 4.211
0.000 -1.649 5.679
-1.428 0.824 5.679
1.428 0.824 5.679
4.369 0.000 4.211
2.185 3.784 4.211
```

=====

[9]
The following is a DFT calculation (PBE) of a relaxed structure of PmGa2Pd3.

Energy of formation ... -788 meV/atom
Distance to the lowest polymorph of the same formula ... 0.0 meV/atom

```
PmGa2Pd3
1.0
8.425 -2.046 0.000
8.425 2.046 0.000
-2.985 0.000 9.583
Pm Ga Pd
3 6 9
Cartesian
0.000 0.000 0.000
0.644 0.000 6.754
13.221 0.000 2.829
2.908 0.000 1.223
4.465 0.000 5.221
7.100 0.000 2.136
6.766 0.000 7.447
9.401 0.000 4.362
10.957 0.000 8.359
-0.303 0.000 3.219
2.459 0.000 3.762
5.314 0.000 0.367
4.059 0.000 7.711
6.933 0.000 4.791
9.807 0.000 1.871
8.551 0.000 9.216
11.406 0.000 5.821
14.168 0.000 6.364
```

=====

[10]
The following is a DFT calculation (PBE) of a relaxed structure of Pm8GaPd2.

Energy of formation ... -379 meV/atom
Distance to the lowest polymorph of the same formula ... 0.0 meV/atom

```
Pm8GaPd2
1.0
9.246 -2.623 0.000
9.246 2.623 0.000
-2.339 0.000 6.541
Pm Ga Pd
8 1 2
Cartesian
-0.135 0.000 1.871
1.730 0.000 5.473
4.855 0.000 3.258
7.444 0.000 0.200
8.709 0.000 6.341
11.298 0.000 3.283
14.424 0.000 1.068
16.288 0.000 4.670
8.077 0.000 3.271
2.635 0.000 1.472
13.518 0.000 5.069
```

=====

[11]
The following is a DFT calculation (PBE) of a relaxed structure of Pm3Ga2Pd4.

Energy of formation ... -829 meV/atom

```
Pm3Ga2Pd4
1.0
5.390 -2.201 0.000
5.390 2.201 0.000
-3.544 0.000 8.079
Pm Ga Pd
3 2 4
Cartesian
0.000 0.000 0.000
2.799 0.000 2.493
4.436 0.000 5.586
1.289 0.000 5.446
5.945 0.000 2.633
-0.491 0.000 3.358
-0.231 0.000 7.510
7.466 0.000 0.569
7.726 0.000 4.720
```

=====

[12]
The following is a DFT calculation (PBE) of a relaxed structure of PmGaPd3.

Energy of formation ... -706 meV/atom
Distance to the lowest polymorph of the same formula ... 0.0 meV/atom

```
PmGaPd3
1.0
-2.765 3.938 4.379
2.765 -3.938 4.379
2.765 3.938 -4.379
Pm Ga Pd
2 2 6
Cartesian
0.000 1.969 0.007
2.765 1.969 4.372
2.765 0.000 0.000
0.000 0.000 4.379
2.765 1.969 -1.510
1.383 4.337 -2.190
1.383 0.399 2.190
-1.383 3.539 2.190
1.383 3.539 2.190
0.000 1.969 5.889
```

=====

Values of total moment, in order: 0.00; 0.00; 0.00; 0.00; 0.00; 0.00; 0.00; 0.00; 0.00; 0.00; 0.00; 0.00, all in μB/atom.